1.
Li2TlPbF8: optimized geometry, GGA-PBE.

Output
The value obtained for the formation energy (no corrections) is -2251 meV/atom. Its total DFT energy (no corrections) is -51.89 eV for the cell shown.

a b c (Å): 3.8964 5.2934 7.7476
angles (deg): 83.73 88.92 81.14
With the nearest neighbours (Å) after each atom.
Atoms (fractional coordinates):
Li 0.0697 0.0520 0.2927  5 F 2.03-2.14
Li 0.9303 0.9480 0.7073  5 F 2.03-2.14
Tl 0.5000 0.5000 0.5000  8 F 2.26-2.37
Pb 0.5000 0.5000 0.0000  8 F 2.31-2.47
F 0.0553 0.2590 0.0482  1 Li 2.08, 1 Pb 2.31
F 0.0557 0.2449 0.5163  2 Li 2.10-2.14, 1 Tl 2.35
F 0.4197 0.7456 0.2360  1 Li 2.03
F 0.4365 0.7604 0.7153  2 Li 2.07-2.29, 1 Tl 2.26
F 0.5635 0.2396 0.2847  2 Li 2.07-2.29, 1 Tl 2.26
F 0.5803 0.2544 0.7640  1 Li 2.03
F 0.9443 0.7551 0.4837  2 Li 2.10-2.14, 1 Tl 2.35
F 0.9447 0.7410 0.9518  1 Li 2.08, 1 Pb 2.31

2.
Cu2RuI8: optimized geometry, GGA-PBE.

Output
For the energy relative to the lowest polymorph listed for this composition, the calculation gives 0.4 kJ per mole of atoms. The value obtained for the formation energy (no corrections) is -30 meV/atom. Its total DFT energy (no corrections) is -30.20 eV for the cell shown.

a b c (Å): 8.7668 8.7668 6.5484
angles (deg): 100.78 100.78 52.78
With the nearest neighbours (Å) after each atom.
Atoms (fractional coordinates):
Cu 0.1601 0.1601 0.1520  4 I 2.52-2.62
Cu 0.8399 0.8399 0.8480  4 I 2.52-2.62
Ru 0.0000 0.0000 0.5000  6 I 2.69-2.70
I 0.1581 0.1581 0.7603  1 Cu 2.56, 1 Ru 2.70
I 0.1741 0.7007 0.7294  1 Cu 2.62, 1 Ru 2.69
I 0.2993 0.8259 0.2706  1 Cu 2.62, 1 Ru 2.69
I 0.3222 0.3222 0.2904  1 Cu 2.52
I 0.6778 0.6778 0.7096  1 Cu 2.52
I 0.7007 0.1741 0.7294  1 Cu 2.62, 1 Ru 2.69
I 0.8259 0.2993 0.2706  1 Cu 2.62, 1 Ru 2.69
I 0.8419 0.8419 0.2397  1 Cu 2.56, 1 Ru 2.70

3.
PmY6Er3Sc2: optimized geometry, GGA-PBE.

Output
For the energy relative to the elements, the calculation gives 0.044 eV/atom. Its total DFT energy (no corrections) is -69.36 eV for the cell shown.

a b c (Å): 6.0794 6.0794 11.6445
angles (deg): 94.97 94.97 119.95
With the nearest neighbours (Å) after each atom.
Atoms (fractional coordinates):
Pm 0.0000 0.0000 0.0000  6 Y 3.49, 6 Sc 3.51
Y 0.0832 0.4189 0.2470  2 Sc 3.48, 1 Pm 3.49, 6 Y 3.50-3.54, 3 Er 3.53-3.55
Y 0.2530 0.2530 0.7530  2 Sc 3.48, 1 Pm 3.49, 6 Y 3.50-3.54, 3 Er 3.53-3.55
Y 0.4189 0.0832 0.2470  2 Sc 3.48, 1 Pm 3.49, 6 Y 3.50-3.54, 3 Er 3.53-3.55
Y 0.5811 0.9168 0.7530  2 Sc 3.48, 1 Pm 3.49, 6 Y 3.50-3.54, 3 Er 3.53-3.55
Y 0.7470 0.7470 0.2470  2 Sc 3.48, 1 Pm 3.49, 6 Y 3.50-3.54, 3 Er 3.53-3.55
Y 0.9168 0.5811 0.7530  2 Sc 3.48, 1 Pm 3.49, 6 Y 3.50-3.54, 3 Er 3.53-3.55
Er 0.1672 0.8328 0.5000  6 Er 3.50-3.52, 6 Y 3.53-3.55
Er 0.5000 0.5000 0.5000  6 Er 3.50-3.51, 6 Y 3.53-3.54
Er 0.8328 0.1672 0.5000  6 Er 3.50-3.52, 6 Y 3.53-3.55
Sc 0.3334 0.6666 0.0000  6 Y 3.48, 3 Sc 3.51, 3 Pm 3.51
Sc 0.6666 0.3334 0.0000  6 Y 3.48, 3 Sc 3.51, 3 Pm 3.51

4.
RbTbPuO6: optimized geometry, GGA-PBE.

Output
The value obtained for the formation energy (no corrections) is -2430 meV/atom. Its total DFT energy (no corrections) is -71.55 eV for the cell shown.

a b c (Å): 5.8829 5.8829 6.0228
angles (deg): 90.00 90.00 120.00
With the nearest neighbours (Å) after each atom.
Atoms (fractional coordinates):
Rb 0.0000 0.0000 0.0000  6 O 2.98
Tb 0.3333 0.6667 0.5000  6 O 2.28
Pu 0.6667 0.3333 0.5000  6 O 1.98
O 0.4061 0.0372 0.6827  1 Pu 1.98
O 0.4061 0.3689 0.3173  1 Pu 1.98
O 0.6311 0.0372 0.3173  1 Pu 1.98
O 0.6311 0.5939 0.6827  1 Pu 1.98
O 0.9628 0.3689 0.6827  1 Pu 1.98
O 0.9628 0.5939 0.3173  1 Pu 1.98

5.
Ho4Tl3Zn: optimized geometry, GGA-PBE.

Output
For the energy relative to the lowest polymorph listed for this composition, the calculation gives 5.7 kJ per mole of atoms. For the energy relative to the elements, the calculation gives -0.282 eV/atom. Its total DFT energy (no corrections) is -28.94 eV for the cell shown.

a b c (Å): 3.8252 4.7397 11.8210
angles (deg): 90.00 90.00 90.00
With the nearest neighbours (Å) after each atom.
Atoms (fractional coordinates):
Ho 0.0000 0.0000 0.0000  5 Tl 3.14-3.19, 2 Zn 3.27
Ho 0.0000 0.5000 0.2890  4 Zn 3.14, 3 Tl 3.15-3.27
Ho 0.5000 0.0000 0.4784  1 Zn 3.01, 4 Tl 3.18
Ho 0.5000 0.5000 0.7957  7 Tl 3.14-3.42
Tl 0.0000 0.0000 0.7302  5 Ho 3.14-3.19, 2 Tl 3.14
Tl 0.0000 0.5000 0.5555  2 Tl 3.14, 7 Ho 3.15-3.42
Tl 0.5000 0.5000 0.0646  2 Zn 3.03, 7 Ho 3.14-3.27
Zn 0.5000 0.0000 0.2240  7 Ho 3.01-3.27, 2 Tl 3.03

6.
NaAgPS3: optimized geometry, GGA-PBE.

Output
The value obtained for the formation energy (no corrections) is -466 meV/atom. Its total DFT energy (no corrections) is -49.51 eV for the cell shown.

a b c (Å): 7.0208 7.0208 8.1184
angles (deg): 119.30 119.30 58.27
With the nearest neighbours (Å) after each atom.
Atoms (fractional coordinates):
Na 0.1683 0.1683 0.2337  5 S 2.90-3.21
Na 0.8317 0.8317 0.7663  5 S 2.90-3.21
Ag 0.2402 0.7598 0.5000  2 S 2.39
Ag 0.7598 0.2402 0.5000  2 S 2.39
P 0.4709 0.4709 0.8405  3 S 2.01-2.06
P 0.5291 0.5291 0.1595  3 S 2.01-2.06
S 0.1870 0.6878 0.1628  1 P 2.06
S 0.2741 0.2741 0.6544  1 P 2.01
S 0.3122 0.8130 0.8372  1 P 2.06
S 0.6878 0.1870 0.1628  1 P 2.06
S 0.7259 0.7259 0.3456  1 P 2.01
S 0.8130 0.3122 0.8372  1 P 2.06

7.
CoSn3Sb: optimized geometry, GGA-PBE.

Output
For the energy relative to the lowest polymorph listed for this composition, the calculation gives 2.7 kJ per mole of atoms. The value obtained for the formation energy (no corrections) is 43 meV/atom. Its total DFT energy (no corrections) is -23.02 eV for the cell shown.

a b c (Å): 4.9767 4.9767 4.9767
angles (deg): 90.00 90.00 90.00
With the nearest neighbours (Å) after each atom.
Atoms (fractional coordinates):
Co 0.0000 0.0000 0.0000  6 Sn 2.49
Sn 0.0000 0.0000 0.5000  2 Co 2.49
Sn 0.0000 0.5000 0.0000  2 Co 2.49
Sn 0.5000 0.0000 0.0000  2 Co 2.49
Sb 0.5000 0.5000 0.5000  12 Sn 3.52

8.
LiCaBCl: optimized geometry, GGA-PBE.

Output
For the energy relative to the lowest polymorph listed for this composition, the calculation gives 4.0 kJ per mole of atoms. The value obtained for the formation energy (no corrections) is -219 meV/atom. Its total DFT energy (no corrections) is -13.32 eV for the cell shown.

a b c (Å): 3.8256 3.8256 5.6086
angles (deg): 90.00 90.00 90.00
With the nearest neighbours (Å) after each atom.
Atoms (fractional coordinates):
Li 0.0000 0.0000 0.0000  4 Cl 2.71, 2 B 2.80
Ca 0.5000 0.5000 0.5000  4 B 2.71, 2 Cl 2.80
B 0.0000 0.0000 0.5000  4 Ca 2.71, 2 Li 2.80
Cl 0.5000 0.5000 0.0000  4 Li 2.71, 2 Ca 2.80